No. 1
The following is a GGA-PBE calculation of a relaxed structure of TaNb2S4, from the Alexandria database.

The value obtained for the density is 6.865 g/cm3. As for the energy relative to the elements, uncorrected: -0.8146 eV/atom.

The space group is Pbam (No. 55) and the conventional cell measures 6.118, 12.004 and 3.260 Å, with angles of 90.00, 90.00 and 90.00 degrees. The inequivalent atoms are Ta at (0.000, 0.000, 0.000), Nb at (0.155, 0.344, 0.500), S at (0.047, 0.792, 0.000) and S at (0.210, 0.546, 0.500).

***

No. 2
The following is a GGA-PBE calculation of a relaxed structure of Ta3NbS8, from the Alexandria database.

The value obtained for the density is 5.559 g/cm3. As for the energy relative to the elements, uncorrected: -1.0235 eV/atom.

The space group is C2/m (No. 12) and the conventional cell measures 11.706, 6.759 and 7.823 Å, with angles of 90.00, 120.55 and 90.00 degrees. The inequivalent atoms are Ta at (0.000, 0.000, 0.000), Ta at (0.250, 0.250, 0.000), Nb at (0.000, 0.500, 0.000), S at (0.006, 0.248, 0.771), S at (0.244, 0.000, 0.228) and S at (0.246, 0.500, 0.229).

***

No. 3
The following is a GGA-PBE calculation of a relaxed structure of TaNbS, from the Alexandria database.

The value obtained for the density is 10.229 g/cm3. The relative energy among the computed polymorphs comes out at 224 meV/atom. As for the energy relative to the elements, uncorrected: -0.4175 eV/atom.

The space group is C2/m (No. 12) and the conventional cell measures 12.202, 3.020 and 5.700 Å, with angles of 90.00, 108.96 and 90.00 degrees. The inequivalent atoms are Ta at (0.206, 0.000, 0.212), Nb at (0.033, 0.500, 0.790) and S at (0.127, 0.000, 0.566).

***

- What is the energy relative to the elements, uncorrected in the third record?
  -0.4175 eV/atom